No. 1
Computed, not measured: a relaxed CrIn2Ru crystal at the PBE-GGA level of DFT.

```
CrIn2Ru
1.0
2.9799 0.0000 0.0000
0.0000 2.9799 0.0000
0.0000 0.0000 8.1962
Cr In Ru
1 2 1
direct
0.0000 0.0000 0.0000
0.0000 0.0000 0.5908
0.5000 0.5000 0.2388
0.5000 0.5000 0.8379
```

The calculation puts the magnetization at 0.86 μB per formula unit. The value obtained for the energy above the most stable polymorph in this dataset is 0.10 eV per formula unit. The formation energy comes out at 0.17 eV per atom.

No. 2
Computed, not measured: a relaxed Li3Ga2Au5 crystal at the PBE-GGA level of DFT.

```
Li3Ga2Au5
1.0
-4.0244 5.3542 4.4877
4.0244 -5.3542 4.4877
4.0244 5.3542 -4.4877
Li Ga Au
6 4 10
direct
0.1235 0.7099 0.8335
0.2500 0.2500 0.0000
0.3765 0.2099 0.5864
0.6235 0.7901 0.4136
0.7500 0.7500 0.0000
0.8765 0.2901 0.1665
0.1227 0.0561 0.1788
0.3773 0.5561 0.9333
0.6227 0.4439 0.0667
0.8773 0.9439 0.8212
0.0143 0.2500 0.7643
0.1325 0.3700 0.5026
0.2500 0.7500 0.5000
0.3675 0.8700 0.2375
0.4857 0.2500 0.2357
0.5143 0.7500 0.7643
0.6325 0.1300 0.7625
0.7500 0.2500 0.5000
0.8675 0.6300 0.4974
0.9857 0.7500 0.2357
```

The calculation puts the magnetization at 0.00 μB per formula unit. The formation energy comes out at -0.27 eV per atom.

No. 3
Computed, not measured: a relaxed Pr4Er9In11 crystal at the PBE-GGA level of DFT.

```
Pr4Er9In11
1.0
8.0807 -11.7622 0.0000
8.0807 11.7622 0.0000
0.0000 0.0000 3.4507
Pr Er In
4 9 11
direct
0.0960 0.2576 0.0000
0.2576 0.0960 0.0000
0.7424 0.9040 0.0000
0.9040 0.7424 0.0000
0.0000 0.0000 0.0000
0.1106 0.6679 0.0000
0.2967 0.4939 0.0000
0.3322 0.8894 0.0000
0.4939 0.2967 0.0000
0.5061 0.7033 0.0000
0.6679 0.1106 0.0000
0.7033 0.5061 0.0000
0.8894 0.3322 0.0000
0.0911 0.4632 0.5000
0.1218 0.8782 0.5000
0.3070 0.3070 0.5000
0.3094 0.6906 0.5000
0.4632 0.0911 0.5000
0.5000 0.5000 0.5000
0.5368 0.9089 0.5000
0.6906 0.3094 0.5000
0.6930 0.6930 0.5000
0.8782 0.1218 0.5000
0.9089 0.5368 0.5000
```

The calculation puts the magnetization at 0.00 μB per formula unit. The formation energy comes out at -0.39 eV per atom.

No. 4
Computed, not measured: a relaxed ZrTaSb2 crystal at the PBE-GGA level of DFT.

```
ZrTaSb2
1.0
3.0845 0.0000 0.0000
0.0000 3.0845 0.0000
0.0000 0.0000 10.6231
Zr Ta Sb
1 1 2
direct
0.0000 0.0000 0.0000
0.5000 0.5000 0.7867
0.0000 0.0000 0.5826
0.5000 0.5000 0.2191
```

The value obtained for the formation energy from raw total energies is -0.183 eV per formula unit. The calculation puts the magnetization at 0.00 μB per formula unit. The value obtained for the energy above the most stable polymorph in this dataset is 0.97 eV per formula unit.

No. 5
Computed, not measured: a relaxed BaGe2O5 crystal at the PBE-GGA level of DFT.

```
BaGe2O5
1.0
2.8078 -5.0096 0.0000
2.8078 5.0096 0.0000
0.0000 0.0000 14.6297
Ba Ge O
4 8 20
direct
0.1619 0.8381 0.9184
0.3381 0.6619 0.4184
0.6619 0.3381 0.5816
0.8381 0.1619 0.0816
0.0054 0.9946 0.3584
0.1731 0.8269 0.1834
0.3269 0.6731 0.6834
0.4946 0.5054 0.8584
0.5054 0.4946 0.1416
0.6731 0.3269 0.3166
0.8269 0.1731 0.8166
0.9946 0.0054 0.6416
0.0015 0.4985 0.7500
0.0063 0.9937 0.2387
0.1527 0.3351 0.9060
0.1649 0.3473 0.5940
0.1660 0.8340 0.6016
0.3340 0.6660 0.1016
0.3351 0.1527 0.0940
0.3473 0.1649 0.4060
0.4937 0.5063 0.7387
0.4985 0.0015 0.2500
0.5015 0.9985 0.7500
0.5063 0.4937 0.2613
0.6527 0.8351 0.5940
0.6649 0.8473 0.9060
0.6660 0.3340 0.8984
0.8340 0.1660 0.3984
0.8351 0.6527 0.4060
0.8473 0.6649 0.0940
0.9937 0.0063 0.7613
0.9985 0.5015 0.2500
```

The value obtained for the formation energy from raw total energies is -16.055 eV per formula unit. The calculation puts the magnetization at 0.00 μB per formula unit.

No. 6
Computed, not measured: a relaxed ReC2 crystal at the PBE-GGA level of DFT.

```
ReC2
1.0
2.9333 0.0000 0.0000
-0.5092 4.4014 0.0000
-0.1026 -0.6068 4.4152
Re C
2 4
direct
0.2060 0.2673 0.3631
0.7940 0.7327 0.6369
0.2986 0.7158 0.2741
0.3440 0.8484 0.0005
0.6560 0.1516 0.9995
0.7014 0.2842 0.7259
```

The calculation puts the magnetization at 0.00 μB per formula unit. The value obtained for the energy above the most stable polymorph in this dataset is 0.70 eV per formula unit. The formation energy comes out at 0.67 eV per atom.

No. 7
Computed, not measured: a relaxed Si2Ru2W crystal at the PBE-GGA level of DFT.

```
Si2Ru2W
1.0
-1.9695 1.9695 4.7505
1.9695 -1.9695 4.7505
1.9695 1.9695 -4.7505
Si Ru W
2 2 1
direct
0.1189 0.1189 0.0000
0.8811 0.8811 0.0000
0.2500 0.7500 0.5000
0.7500 0.2500 0.5000
0.5000 0.5000 0.0000
```

The value obtained for the formation energy from raw total energies is 0.200 eV per formula unit. The calculation puts the magnetization at 0.00 μB per formula unit. The value obtained for the energy above the most stable polymorph in this dataset is 1.81 eV per formula unit.

No. 8
Computed, not measured: a relaxed PrMg2Pd crystal at the PBE-GGA level of DFT.

```
PrMg2Pd
1.0
3.3357 0.0000 0.0000
0.0000 3.3357 0.0000
0.0000 0.0000 8.0775
Pr Mg Pd
1 2 1
direct
0.0000 0.0000 0.0000
0.5000 0.5000 0.3167
0.5000 0.5000 0.6833
0.0000 0.0000 0.5000
```

The calculation puts the magnetization at 0.00 μB per formula unit. The formation energy comes out at -0.38 eV per atom.

No. 9
Computed, not measured: a relaxed TaHgRh2 crystal at the PBE-GGA level of DFT.

```
TaHgRh2
1.0
4.2299 0.0000 0.0000
0.0000 4.2299 0.0000
0.0000 0.0000 3.6679
Ta Hg Rh
1 1 2
direct
0.0000 0.0000 0.0000
0.5000 0.5000 0.0000
0.0000 0.5000 0.5000
0.5000 0.0000 0.5000
```

The calculation puts the magnetization at 0.00 μB per formula unit. The formation energy comes out at -0.11 eV per atom.

No. 10
Computed, not measured: a relaxed SrReMo2 crystal at the PBE-GGA level of DFT.

```
SrReMo2
1.0
4.9266 -1.6037 0.0000
4.9266 1.6037 0.0000
-1.4672 0.0000 5.5643
Sr Re Mo
1 1 2
direct
0.0000 0.0000 0.0000
0.5000 0.5000 0.5000
0.2098 0.2098 0.6380
0.7902 0.7902 0.3620
```

The calculation puts the magnetization at 0.00 μB per formula unit. The value obtained for the energy above the most stable polymorph in this dataset is 0.23 eV per formula unit. The formation energy comes out at 0.73 eV per atom.

No. 11
Computed, not measured: a relaxed BaInB12 crystal at the PBE-GGA level of DFT.

```
BaInB12
1.0
0.0000 4.2504 4.2504
4.2504 0.0000 4.2504
4.2504 4.2504 0.0000
Ba In B
1 1 12
direct
0.0000 0.0000 0.0000
0.5000 0.5000 0.5000
0.1012 0.1012 0.3988
0.1012 0.3988 0.1012
0.1012 0.3988 0.3988
0.3988 0.1012 0.1012
0.3988 0.1012 0.3988
0.3988 0.3988 0.1012
0.6012 0.6012 0.8988
0.6012 0.8988 0.6012
0.6012 0.8988 0.8988
0.8988 0.6012 0.6012
0.8988 0.6012 0.8988
0.8988 0.8988 0.6012
```

The calculation puts the magnetization at 0.00 μB per formula unit. The formation energy comes out at -0.08 eV per atom.

No. 12
Computed, not measured: a relaxed SmDy3Ho3Se8 crystal at the PBE-GGA level of DFT.

```
SmDy3Ho3Se8
1.0
4.0570 2.3423 6.6260
-4.0570 2.3423 6.6260
0.0000 -4.6847 6.6260
Sm Dy Ho Se
1 3 3 8
direct
0.0000 0.0000 0.0000
0.0000 0.0000 0.5000
0.0000 0.5000 0.0000
0.5000 0.0000 0.0000
0.0000 0.5000 0.5000
0.5000 0.0000 0.5000
0.5000 0.5000 0.0000
0.2506 0.2506 0.2506
0.2581 0.2581 0.7408
0.2581 0.7408 0.2581
0.2592 0.7419 0.7419
0.7408 0.2581 0.2581
0.7419 0.2592 0.7419
0.7419 0.7419 0.2592
0.7494 0.7494 0.7494
```

The value obtained for the formation energy from raw total energies is -27.340 eV per formula unit. The calculation puts the magnetization at 0.00 μB per formula unit.

No. 13
Computed, not measured: a relaxed Cs6As2Pd crystal at the PBE-GGA level of DFT.

```
Cs6As2Pd
1.0
3.1852 1.8390 11.0962
-3.1852 1.8390 11.0962
0.0000 -3.6780 11.0962
Cs As Pd
6 2 1
direct
0.0815 0.0815 0.0815
0.1976 0.1976 0.1976
0.3132 0.3132 0.3132
0.6868 0.6868 0.6868
0.8024 0.8024 0.8024
0.9185 0.9185 0.9185
0.4231 0.4231 0.4231
0.5769 0.5769 0.5769
0.5000 0.5000 0.5000
```

The calculation puts the magnetization at 0.00 μB per formula unit. The formation energy comes out at -0.22 eV per atom.

No. 14
Computed, not measured: a relaxed BaBeAu crystal at the PBE-GGA level of DFT.

```
BaBeAu
1.0
0.0000 3.7626 3.7626
3.7626 0.0000 3.7626
3.7626 3.7626 0.0000
Ba Be Au
1 1 1
direct
0.0000 0.0000 0.0000
0.2500 0.2500 0.2500
0.7500 0.7500 0.7500
```

The calculation puts the magnetization at 0.00 μB per formula unit. The value obtained for the energy above the most stable polymorph in this dataset is 2.43 eV per formula unit. The formation energy comes out at 0.59 eV per atom.

No. 15
Computed, not measured: a relaxed FeCo3Rh4 crystal at the PBE-GGA level of DFT.

```
FeCo3Rh4
1.0
8.5134 0.0000 0.0000
0.0000 5.3640 0.0000
0.0000 0.0000 4.5238
Fe Co Rh
2 6 8
direct
0.0000 0.0000 0.0000
0.5000 0.0000 0.0000
0.0000 0.5000 0.0000
0.2500 0.0000 0.3386
0.2500 0.5000 0.3346
0.5000 0.5000 0.0000
0.7500 0.0000 0.6614
0.7500 0.5000 0.6654
0.0000 0.2519 0.5000
0.0000 0.7481 0.5000
0.2500 0.2511 0.8494
0.2500 0.7489 0.8494
0.5000 0.2519 0.5000
0.5000 0.7481 0.5000
0.7500 0.2511 0.1506
0.7500 0.7489 0.1506
```

The calculation puts the magnetization at 10.21 μB per formula unit. The formation energy comes out at 0.04 eV per atom.